The following is a PBE calculation of an optimized crystal structure of AlGeAsBr2, from Alexandria via LeMat-Bulk.

Unit cell a=4.936 b=4.936 c=5.209 alpha=90.00 beta=90.00 gamma=90.00
Space group P4/mmm (No. 123)
Inequivalent atoms, fractional coordinates:
Al 0.000 0.000 0.000
Ge 0.500 0.500 0.500
As 0.000 0.000 0.500
Br 0.000 0.500 0.000

Summary:
Final energy   -3.14 eV/atom
Raw formation energy   0.13 eV per atom
Density of states at the Fermi level   0.447 states/eV per atom